w) Entry from Alexandria: PrDy2Au2 after structural relaxation (PBE-GGA).

a b c (Å): 4.912 4.912 6.753
angles (deg): 111.15 111.15 89.95
Fractional positions:
Pr  0.000  0.000  0.000
Dy  0.250  0.750  0.500
Dy  0.750  0.250  0.500
Au  0.382  0.382  0.768
Au  0.618  0.618  0.232

Output
- Total magnetization: 0.0 μB/cell
- Symmetry: C2/m, No. 12
- Crystal system: monoclinic

=====

x) Entry from Alexandria: PrDy2Au2 after structural relaxation (PBE-GGA).

a b c (Å): 8.302 8.302 3.802
angles (deg): 90.00 90.00 90.00
Fractional positions:
Pr  0.000  0.000  0.000
Pr  0.500  0.500  0.000
Dy  0.162  0.338  0.500
Dy  0.338  0.838  0.500
Dy  0.662  0.162  0.500
Dy  0.838  0.662  0.500
Au  0.130  0.630  0.000
Au  0.370  0.130  0.000
Au  0.630  0.870  0.000
Au  0.870  0.370  0.000

Output
- Total magnetization: 0.0 μB/cell
- Symmetry: P4/mbm, No. 127
- Crystal system: tetragonal

=====

Stability verdict: x), ahead by 0.121 eV/atom

=====

w) Entry from Alexandria: Pr2DyAu2 after structural relaxation (PBE-GGA).

a b c (Å): 6.422 6.422 6.422
angles (deg): 143.52 112.37 79.36
Fractional positions:
Pr  0.199  0.199  0.000
Pr  0.801  0.801  0.000
Dy  0.500  0.000  0.500
Au  0.208  0.500  0.708
Au  0.792  0.500  0.292

Output
- Total magnetization: 0.0 μB/cell
- Symmetry: Immm, No. 71
- Crystal system: orthorhombic

=====

x) Entry from Alexandria: Pr2DyAu2 after structural relaxation (PBE-GGA).

a b c (Å): 8.361 8.361 3.961
angles (deg): 90.00 90.00 90.00
Fractional positions:
Pr  0.167  0.333  0.000
Pr  0.333  0.833  0.000
Pr  0.667  0.167  0.000
Pr  0.833  0.667  0.000
Dy  0.000  0.000  0.500
Dy  0.500  0.500  0.500
Au  0.130  0.630  0.500
Au  0.370  0.130  0.500
Au  0.630  0.870  0.500
Au  0.870  0.370  0.500

Output
- Total magnetization: 0.0 μB/cell
- Symmetry: P4/mbm, No. 127
- Crystal system: tetragonal

=====

Stability verdict: x), ahead by 0.032 eV/atom

=====

w) Entry from Alexandria: PrDyPtAu after structural relaxation (PBE-GGA).

a b c (Å): 5.122 5.122 5.122
angles (deg): 60.00 60.00 60.00
Fractional positions:
Pr  0.000  0.000  0.000
Dy  0.500  0.500  0.500
Pt  0.250  0.250  0.250
Au  0.750  0.750  0.750

Output
- Total magnetization: 0.0 μB/cell
- Symmetry: F-43m, No. 216
- Crystal system: cubic

=====

x) Entry from Alexandria: PrDyPtAu after structural relaxation (PBE-GGA).

a b c (Å): 4.676 5.774 5.774
angles (deg): 39.16 90.00 90.00
Fractional positions:
Pr  0.000  0.000  0.000
Dy  0.500  0.725  0.725
Pt  0.000  0.271  0.271
Au  0.500  0.445  0.445

Output
- Total magnetization: 0.0 μB/cell
- Symmetry: Amm2, No. 38
- Crystal system: orthorhombic

=====

Stability verdict: x), ahead by 0.061 eV/atom

=====

w) Entry from Alexandria: PrDyRhAu after structural relaxation (PBE-GGA).

a b c (Å): 5.078 5.078 5.078
angles (deg): 60.00 60.00 60.00
Fractional positions:
Pr  0.000  0.000  0.000
Dy  0.500  0.500  0.500
Rh  0.250  0.250  0.250
Au  0.750  0.750  0.750

Output
- Total magnetization: 0.0 μB/cell
- Symmetry: F-43m, No. 216
- Crystal system: cubic

=====

x) Entry from Alexandria: PrDyRhAu after structural relaxation (PBE-GGA).

a b c (Å): 4.654 5.648 5.648
angles (deg): 40.13 90.00 90.00
Fractional positions:
Pr  0.000  0.000  0.000
Dy  0.500  0.281  0.281
Rh  0.000  0.737  0.737
Au  0.500  0.565  0.565

Output
- Total magnetization: 0.0 μB/cell
- Symmetry: Amm2, No. 38
- Crystal system: orthorhombic

=====

Stability verdict: x), ahead by 0.058 eV/atom

=====

w) Entry from Alexandria: PrDyZnAu after structural relaxation (PBE-GGA).

a b c (Å): 5.182 5.182 5.182
angles (deg): 60.00 60.00 60.00
Fractional positions:
Pr  0.000  0.000  0.000
Dy  0.500  0.500  0.500
Zn  0.250  0.250  0.250
Au  0.750  0.750  0.750

Output
- Total magnetization: 0.0 μB/cell
- Symmetry: F-43m, No. 216
- Crystal system: cubic

=====

x) Entry from Alexandria: PrDyZnAu after structural relaxation (PBE-GGA).

a b c (Å): 3.662 3.662 7.283
angles (deg): 90.00 90.00 90.00
Fractional positions:
Pr  0.000  0.000  0.000
Dy  0.000  0.000  0.496
Zn  0.500  0.500  0.264
Au  0.500  0.500  0.717

Output
- Total magnetization: 0.0 μB/cell
- Symmetry: P4mm, No. 99
- Crystal system: tetragonal

=====

Stability verdict: x), ahead by 0.027 eV/atom

=====

w) Entry from Alexandria: Dy4PtAu after structural relaxation (PBE-GGA).

a b c (Å): 7.142 4.898 17.800
angles (deg): 90.00 90.00 90.00
Fractional positions:
Dy  0.025  0.250  0.222
Dy  0.042  0.250  0.929
Dy  0.114  0.250  0.650
Dy  0.132  0.250  0.441
Dy  0.368  0.750  0.941
Dy  0.386  0.750  0.150
Dy  0.458  0.750  0.429
Dy  0.475  0.750  0.722
Dy  0.525  0.250  0.278
Dy  0.542  0.250  0.571
Dy  0.614  0.250  0.850
Dy  0.632  0.250  0.059
Dy  0.868  0.750  0.559
Dy  0.886  0.750  0.350
Dy  0.958  0.750  0.071
Dy  0.975  0.750  0.778
Pt  0.250  0.250  0.797
Pt  0.250  0.750  0.297
Pt  0.750  0.250  0.703
Pt  0.750  0.750  0.203
Au  0.222  0.250  0.073
Au  0.278  0.750  0.573
Au  0.722  0.250  0.427
Au  0.778  0.750  0.927

Output
- Total magnetization: 0.0 μB/cell
- Symmetry: Pnma, No. 62
- Crystal system: orthorhombic

=====

x) Entry from Alexandria: Dy4PtAu after structural relaxation (PBE-GGA).

a b c (Å): 7.055 7.010 6.986
angles (deg): 90.00 92.38 90.00
Fractional positions:
Dy  0.155  0.160  0.172
Dy  0.155  0.340  0.672
Dy  0.334  0.656  0.146
Dy  0.334  0.844  0.646
Dy  0.666  0.156  0.354
Dy  0.666  0.344  0.854
Dy  0.845  0.660  0.328
Dy  0.845  0.840  0.828
Pt  0.000  0.000  0.500
Pt  0.000  0.500  0.000
Au  0.500  0.000  0.000
Au  0.500  0.500  0.500

Output
- Total magnetization: 0.0 μB/cell
- Symmetry: P2_1/c, No. 14
- Crystal system: monoclinic

=====

Stability verdict: w), ahead by 0.099 eV/atom

=====

w) Entry from Alexandria: Dy2Pt4Au after structural relaxation (PBE-GGA).

a b c (Å): 7.198 6.259 5.306
angles (deg): 76.49 57.73 45.79
Fractional positions:
Dy  0.145  0.145  0.855
Dy  0.855  0.855  0.145
Pt  0.000  0.000  0.500
Pt  0.250  0.250  0.250
Pt  0.500  0.500  0.000
Pt  0.750  0.750  0.750
Au  0.500  0.500  0.500

Output
- Total magnetization: 0.0 μB/cell
- Symmetry: Fmmm, No. 69
- Crystal system: orthorhombic

=====

x) Entry from Alexandria: Dy2Pt4Au after structural relaxation (PBE-GGA).

a b c (Å): 9.555 9.555 9.555
angles (deg): 155.85 155.85 34.42
Fractional positions:
Dy  0.117  0.117  0.000
Dy  0.883  0.883  0.000
Pt  0.250  0.750  0.500
Pt  0.356  0.356  0.000
Pt  0.644  0.644  0.000
Pt  0.750  0.250  0.500
Au  0.500  0.500  0.000

Output
- Total magnetization: 0.0 μB/cell
- Symmetry: I4/mmm, No. 139
- Crystal system: tetragonal

=====

Stability verdict: x), ahead by 0.122 eV/atom

=====

w) Entry from Alexandria: DyPtAu after structural relaxation (PBE-GGA).

a b c (Å): 5.220 5.220 7.427
angles (deg): 111.52 111.52 41.21
Fractional positions:
Dy  0.007  0.007  0.268
Dy  0.993  0.993  0.732
Pt  0.337  0.337  0.414
Pt  0.663  0.663  0.586
Au  0.335  0.335  0.917
Au  0.665  0.665  0.083

Output
- Total magnetization: 0.0 μB/cell
- Symmetry: C2/m, No. 12
- Crystal system: monoclinic

=====

x) Entry from Alexandria: DyPtAu after structural relaxation (PBE-GGA).

a b c (Å): 4.637 4.637 3.415
angles (deg): 90.00 90.00 120.00
Fractional positions:
Dy  0.000  0.000  0.000
Pt  0.667  0.333  0.500
Au  0.333  0.667  0.500

Output
- Total magnetization: 0.0 μB/cell
- Symmetry: P-6m2, No. 187
- Crystal system: hexagonal

=====

y) Entry from Alexandria: DyPtAu after structural relaxation (PBE-GGA).

a b c (Å): 4.908 4.908 5.727
angles (deg): 90.00 90.00 117.09
Fractional positions:
Dy  0.158  0.842  0.750
Dy  0.842  0.158  0.250
Pt  0.186  0.814  0.250
Pt  0.814  0.186  0.750
Au  0.500  0.500  0.000
Au  0.500  0.500  0.500

Output
- Total magnetization: 0.0 μB/cell
- Symmetry: Cmcm, No. 63
- Crystal system: orthorhombic

=====

Stability verdict: y), ahead by 0.028 eV/atom

=====

w) Entry from Alexandria: DyPuPtAu after structural relaxation (PBE-GGA).

a b c (Å): 5.038 5.038 5.038
angles (deg): 60.00 60.00 60.00
Fractional positions:
Dy  0.000  0.000  0.000
Pu  0.500  0.500  0.500
Pt  0.250  0.250  0.250
Au  0.750  0.750  0.750

Output
- Total magnetization: 5.6 μB/cell
- Symmetry: F-43m, No. 216
- Crystal system: cubic

=====

x) Entry from Alexandria: DyPuPtAu after structural relaxation (PBE-GGA).

a b c (Å): 3.512 3.512 7.327
angles (deg): 90.00 90.00 90.00
Fractional positions:
Dy  0.000  0.000  0.000
Pu  0.000  0.000  0.526
Pt  0.500  0.500  0.777
Au  0.500  0.500  0.246

Output
- Total magnetization: 5.8 μB/cell
- Symmetry: P4mm, No. 99
- Crystal system: tetragonal

=====

Stability verdict: x), ahead by 0.044 eV/atom

=====

w) Entry from Alexandria: DyPtRhAu after structural relaxation (PBE-GGA).

a b c (Å): 4.695 4.695 4.695
angles (deg): 60.00 60.00 60.00
Fractional positions:
Dy  0.000  0.000  0.000
Pt  0.750  0.750  0.750
Rh  0.250  0.250  0.250
Au  0.500  0.500  0.500

Output
- Total magnetization: 0.0 μB/cell
- Symmetry: F-43m, No. 216
- Crystal system: cubic

=====

x) Entry from Alexandria: DyPtRhAu after structural relaxation (PBE-GGA).

a b c (Å): 3.998 4.185 4.251
angles (deg): 90.00 90.00 90.00
Fractional positions:
Dy  0.000  0.000  0.000
Pt  0.500  0.000  0.500
Rh  0.500  0.500  0.000
Au  0.000  0.500  0.500

Output
- Total magnetization: 0.0 μB/cell
- Symmetry: Pmmm, No. 47
- Crystal system: orthorhombic

=====

Stability verdict: x), ahead by 0.177 eV/atom

=====

w) Entry from Alexandria: DyScPtAu after structural relaxation (PBE-GGA).

a b c (Å): 4.488 5.561 5.561
angles (deg): 38.12 90.00 90.00
Fractional positions:
Dy  0.000  0.000  0.000
Sc  0.500  0.722  0.722
Pt  0.500  0.451  0.451
Au  0.000  0.272  0.272

Output
- Total magnetization: 0.0 μB/cell
- Symmetry: Amm2, No. 38
- Crystal system: orthorhombic

=====

x) Entry from Alexandria: DyScPtAu after structural relaxation (PBE-GGA).

a b c (Å): 4.886 4.886 4.886
angles (deg): 60.00 60.00 60.00
Fractional positions:
Dy  0.000  0.000  0.000
Sc  0.500  0.500  0.500
Pt  0.250  0.250  0.250
Au  0.750  0.750  0.750

Output
- Total magnetization: 0.0 μB/cell
- Symmetry: F-43m, No. 216
- Crystal system: cubic

=====

Stability verdict: w), ahead by 0.035 eV/atom

=====

w) Entry from Alexandria: DyTmPtAu after structural relaxation (PBE-GGA).

a b c (Å): 4.980 4.980 4.980
angles (deg): 60.00 60.00 60.00
Fractional positions:
Dy  0.000  0.000  0.000
Tm  0.500  0.500  0.500
Pt  0.250  0.250  0.250
Au  0.750  0.750  0.750

Output
- Total magnetization: 0.0 μB/cell
- Symmetry: F-43m, No. 216
- Crystal system: cubic

=====

x) Entry from Alexandria: DyTmPtAu after structural relaxation (PBE-GGA).

a b c (Å): 4.578 5.635 5.635
angles (deg): 38.66 90.00 90.00
Fractional positions:
Dy  0.000  0.000  0.000
Tm  0.500  0.277  0.277
Pt  0.000  0.729  0.729
Au  0.500  0.552  0.552

Output
- Total magnetization: 0.0 μB/cell
- Symmetry: Amm2, No. 38
- Crystal system: orthorhombic

=====

Stability verdict: x), ahead by 0.045 eV/atom

=====

w) Entry from Alexandria: DyPuAu after structural relaxation (PBE-GGA).

a b c (Å): 5.404 5.404 7.921
angles (deg): 92.75 92.75 38.70
Fractional positions:
Dy  0.062  0.062  0.285
Dy  0.938  0.938  0.715
Pu  0.323  0.323  0.028
Pu  0.677  0.677  0.972
Au  0.212  0.212  0.637
Au  0.788  0.788  0.363

Output
- Total magnetization: 3.7 μB/cell
- Symmetry: C2/m, No. 12
- Crystal system: monoclinic

=====

x) Entry from Alexandria: DyPuAu after structural relaxation (PBE-GGA).

a b c (Å): 6.640 6.640 6.640
angles (deg): 148.66 148.66 44.91
Fractional positions:
Dy  0.000  0.000  0.000
Pu  0.708  0.708  0.000
Au  0.368  0.368  0.000

Output
- Total magnetization: 6.4 μB/cell
- Symmetry: I4mm, No. 107
- Crystal system: tetragonal

=====

Stability verdict: x), ahead by 0.199 eV/atom